[1]
This record from Alexandria via LeMat-Bulk describes a relaxed CaAlBIr2 crystal. The functional is GGA-PBE.

The value obtained for the formation energy is -278 kJ/mol of formula units. Its spin magnetization is 0.00 Bohr magnetons per cell. Its volume is 16.8 A^3/atom. As for the space group: Cmcm. The value obtained for the uncorrected energy is -6.606 eV/atom.

Lattice parameters (Å, degrees): 4.100 5.987 7.299 90.00 90.00 110.02
Atoms (fractional coordinates):
Ir 0.832 0.665 0.443
Ir 0.168 0.335 0.943
Ir 0.168 0.335 0.557
Ir 0.832 0.665 0.057
B 0.000 0.000 0.000
B 0.000 0.000 0.500
Ca 0.449 0.898 0.750
Ca 0.551 0.102 0.250
Al 0.275 0.550 0.250
Al 0.725 0.450 0.750



[2]
This record from Alexandria via LeMat-Bulk describes a relaxed Ca2AlNi5B2 crystal. The functional is GGA-PBE.

The value obtained for the formation energy is -267 kJ/mol of formula units. Its spin magnetization is 0.00 Bohr magnetons per cell. Its volume is 12.8 A^3/atom. As for the space group: P4/mbm. The value obtained for the uncorrected energy is -5.277 eV/atom.

Lattice parameters (Å, degrees): 2.982 9.252 9.252 90.00 90.00 90.00
Atoms (fractional coordinates):
Ni 0.500 0.732 0.433
Ni 0.500 0.933 0.232
Ni 0.500 0.500 0.000
Ni 0.500 0.567 0.732
Ni 0.500 0.232 0.067
Ni 0.500 0.067 0.768
Ni 0.500 0.433 0.268
Ni 0.500 0.768 0.933
Ni 0.500 0.000 0.500
Ni 0.500 0.268 0.567
Ca 0.000 0.180 0.320
Ca 0.000 0.680 0.180
Ca 0.000 0.820 0.680
Ca 0.000 0.320 0.820
Al 0.000 0.000 0.000
Al 0.000 0.500 0.500
B 0.000 0.384 0.116
B 0.000 0.884 0.384
B 0.000 0.616 0.884
B 0.000 0.116 0.616



[3]
This record from Alexandria via LeMat-Bulk describes a relaxed CaAlBO4 crystal. The functional is GGA-PBE.

Its spin magnetization is 0.00 Bohr magnetons per cell. Its volume is 10.7 A^3/atom. As for the space group: Cmcm. The calculation puts the uncorrected formation energy at -2.69 eV per atom. The value obtained for the uncorrected energy is -7.295 eV/atom. As for the relative energy among the computed polymorphs: 0.237 eV per atom.

Lattice parameters (Å, degrees): 5.281 5.281 5.734 90.00 90.00 110.84
Atoms (fractional coordinates):
O 0.230 0.770 0.470
O 0.230 0.770 0.030
O 0.174 0.221 0.750
O 0.221 0.174 0.250
O 0.779 0.826 0.750
O 0.770 0.230 0.530
O 0.826 0.779 0.250
O 0.770 0.230 0.970
Ca 0.500 0.500 0.500
Ca 0.500 0.500 0.000
Al 0.134 0.866 0.750
Al 0.866 0.134 0.250
B 0.138 0.862 0.250
B 0.862 0.138 0.750



[4]
This record from Alexandria via LeMat-Bulk describes a relaxed CaAlBO4 crystal. The functional is GGA-PBE.

Its spin magnetization is 0.00 Bohr magnetons per cell. Its volume is 13.3 A^3/atom. As for the space group: Ccc2. The calculation puts the uncorrected formation energy at -2.92 eV per atom. The value obtained for the uncorrected energy is -7.532 eV/atom. As for the relative energy among the computed polymorphs: 0.000 eV per atom.

Lattice parameters (Å, degrees): 8.728 8.728 5.807 90.00 90.00 122.60
Atoms (fractional coordinates):
O 0.073 0.188 0.949
O 0.188 0.073 0.449
O 0.203 0.733 0.491
O 0.178 0.451 0.193
O 0.521 0.783 0.278
O 0.812 0.927 0.449
O 0.822 0.549 0.193
O 0.733 0.203 0.991
O 0.451 0.178 0.693
O 0.479 0.217 0.278
O 0.797 0.267 0.491
O 0.549 0.822 0.693
O 0.783 0.521 0.778
O 0.927 0.812 0.949
O 0.217 0.479 0.778
O 0.267 0.797 0.991
Ca 0.952 0.764 0.508
Ca 0.764 0.952 0.008
Ca 0.048 0.236 0.508
Ca 0.236 0.048 0.008
Al 0.308 0.716 0.738
Al 0.284 0.692 0.238
Al 0.692 0.284 0.738
Al 0.716 0.308 0.238
B 0.844 0.628 0.976
B 0.156 0.372 0.976
B 0.372 0.156 0.476
B 0.628 0.844 0.476



[5]
This record from Alexandria via LeMat-Bulk describes a relaxed CaAl2BO6 crystal. The functional is GGA-PBE.

Its spin magnetization is 1.85 Bohr magnetons per cell. Its volume is 12.2 A^3/atom. As for the space group: C2/c. The calculation puts the uncorrected formation energy at -2.65 eV per atom. The value obtained for the uncorrected energy is -7.242 eV/atom.

Lattice parameters (Å, degrees): 5.754 6.961 6.961 91.84 70.46 70.46
Atoms (fractional coordinates):
Al 0.402 0.765 0.583
Al 0.598 0.235 0.417
Al 0.098 0.417 0.235
Al 0.902 0.583 0.765
O 0.503 0.824 0.335
O 0.222 0.972 0.795
O 0.722 0.795 0.972
O 0.850 0.336 0.398
O 0.778 0.028 0.205
O 0.003 0.335 0.824
O 0.650 0.602 0.664
O 0.497 0.176 0.665
O 0.278 0.205 0.028
O 0.150 0.664 0.602
O 0.350 0.398 0.336
O 0.997 0.665 0.176
B 0.750 0.820 0.180
B 0.250 0.180 0.820
Ca 0.250 0.879 0.121
Ca 0.750 0.121 0.879



[6]
This record from Alexandria via LeMat-Bulk describes a relaxed CaAl3B4O12 crystal. The functional is GGA-PBE.

Its spin magnetization is 0.90 Bohr magnetons per cell. Its volume is 9.4 A^3/atom. As for the space group: R32. The calculation puts the uncorrected formation energy at -2.66 eV per atom. The value obtained for the uncorrected energy is -7.634 eV/atom.

Lattice parameters (Å, degrees): 5.940 5.940 5.940 103.87 103.87 103.87
Atoms (fractional coordinates):
O 0.772 0.028 0.621
O 0.648 0.500 0.352
O 0.379 0.972 0.228
O 0.621 0.772 0.028
O 0.500 0.352 0.648
O 0.028 0.621 0.772
O 0.909 0.500 0.091
O 0.500 0.091 0.909
O 0.972 0.228 0.379
O 0.228 0.379 0.972
O 0.091 0.909 0.500
O 0.352 0.648 0.500
Al 0.557 0.443 0.000
Al 0.443 0.000 0.557
Al 0.000 0.557 0.443
B 0.500 0.500 0.500
B 0.941 0.059 0.500
B 0.059 0.500 0.941
B 0.500 0.941 0.059
Ca 0.000 0.000 0.000



[7]
This record from Alexandria via LeMat-Bulk describes a relaxed CaZrAl9BO18 crystal. The functional is GGA-PBE.

Its spin magnetization is 0.00 Bohr magnetons per cell. Its volume is 9.6 A^3/atom. As for the space group: P6_3/m. The calculation puts the uncorrected formation energy at -3.03 eV per atom. The value obtained for the uncorrected energy is -7.701 eV/atom.

Lattice parameters (Å, degrees): 8.562 8.807 8.807 120.00 90.00 90.00
Atoms (fractional coordinates):
O 0.593 0.405 0.883
O 0.251 0.447 0.601
O 0.093 0.522 0.405
O 0.083 0.107 0.808
O 0.093 0.595 0.117
O 0.251 0.399 0.846
O 0.593 0.478 0.595
O 0.251 0.330 0.110
O 0.908 0.478 0.595
O 0.418 0.192 0.299
O 0.251 0.890 0.220
O 0.408 0.522 0.405
O 0.083 0.701 0.893
O 0.908 0.117 0.522
O 0.918 0.808 0.701
O 0.751 0.220 0.330
O 0.918 0.893 0.192
O 0.751 0.670 0.890
O 0.583 0.893 0.192
O 0.418 0.107 0.808
O 0.418 0.701 0.893
O 0.093 0.883 0.478
O 0.408 0.595 0.117
O 0.751 0.553 0.399
O 0.751 0.846 0.447
O 0.751 0.110 0.780
O 0.408 0.883 0.478
O 0.918 0.299 0.107
O 0.251 0.780 0.670
O 0.908 0.405 0.883
O 0.583 0.808 0.701
O 0.593 0.117 0.522
O 0.083 0.192 0.299
O 0.583 0.299 0.107
O 0.751 0.601 0.154
O 0.251 0.154 0.553
Al 0.423 0.018 0.361
Al 0.079 0.343 0.982
Al 0.423 0.639 0.657
Al 0.579 0.361 0.343
Al 0.923 0.657 0.018
Al 0.251 0.667 0.004
Al 0.579 0.982 0.639
Al 0.751 0.663 0.667
Al 0.251 0.996 0.663
Al 0.079 0.639 0.657
Al 0.423 0.343 0.982
Al 0.079 0.018 0.361
Al 0.923 0.982 0.639
Al 0.251 0.337 0.333
Al 0.923 0.361 0.343
Al 0.751 0.333 0.996
Al 0.579 0.657 0.018
Al 0.751 0.004 0.337
Ca 0.001 0.000 0.000
Ca 0.501 0.000 0.000
B 0.251 0.333 0.667
B 0.751 0.667 0.333
Zr 0.251 0.667 0.333
Zr 0.751 0.333 0.667



[8]
This record from Alexandria via LeMat-Bulk describes a relaxed Ca2AlBPd6 crystal. The functional is GGA-PBE.

The value obtained for the formation energy is -524 kJ/mol of formula units. Its spin magnetization is 0.00 Bohr magnetons per cell. Its volume is 18.2 A^3/atom. As for the space group: I4/mmm. The value obtained for the uncorrected energy is -5.101 eV/atom.

Lattice parameters (Å, degrees): 6.369 6.371 6.357 59.95 59.96 90.06
Atoms (fractional coordinates):
Pd 0.733 0.733 0.534
Pd 0.733 0.267 0.000
Pd 0.267 0.267 0.000
Pd 0.733 0.733 0.000
Pd 0.267 0.267 0.466
Pd 0.267 0.733 0.000
Ca 0.750 0.250 0.500
Ca 0.250 0.750 0.500
B 0.500 0.500 0.000
Al 0.000 0.000 0.000



[9]
This record from Alexandria via LeMat-Bulk describes a relaxed Ca2AlB2Pt5 crystal. The functional is GGA-PBE.

The value obtained for the formation energy is -663 kJ/mol of formula units. Its spin magnetization is 0.00 Bohr magnetons per cell. Its volume is 15.2 A^3/atom. As for the space group: P4/mbm. The value obtained for the uncorrected energy is -5.818 eV/atom.

Lattice parameters (Å, degrees): 3.260 9.647 9.647 90.00 90.00 90.00
Atoms (fractional coordinates):
Pt 0.500 0.781 0.932
Pt 0.500 0.432 0.281
Pt 0.500 0.068 0.781
Pt 0.500 0.568 0.719
Pt 0.500 0.500 0.000
Pt 0.500 0.219 0.068
Pt 0.500 0.000 0.500
Pt 0.500 0.932 0.219
Pt 0.500 0.281 0.568
Pt 0.500 0.719 0.432
Ca 0.000 0.677 0.177
Ca 0.000 0.823 0.677
Ca 0.000 0.323 0.823
Ca 0.000 0.177 0.323
Al 0.000 0.500 0.500
Al 0.000 0.000 0.000
B 0.000 0.123 0.623
B 0.000 0.377 0.123
B 0.000 0.877 0.377
B 0.000 0.623 0.877



[10]
This record from Alexandria via LeMat-Bulk describes a relaxed Ca2AlB2Ru5 crystal. The functional is GGA-PBE.

The value obtained for the formation energy is -174 kJ/mol of formula units. Its spin magnetization is 0.00 Bohr magnetons per cell. Its volume is 14.2 A^3/atom. As for the space group: P4/mbm. The value obtained for the uncorrected energy is -6.928 eV/atom.

Lattice parameters (Å, degrees): 3.003 9.714 9.714 90.00 90.00 90.00
Atoms (fractional coordinates):
Ru 0.500 0.718 0.433
Ru 0.500 0.282 0.567
Ru 0.500 0.782 0.933
Ru 0.500 0.218 0.067
Ru 0.500 0.000 0.500
Ru 0.500 0.433 0.282
Ru 0.500 0.933 0.218
Ru 0.500 0.067 0.782
Ru 0.500 0.500 0.000
Ru 0.500 0.567 0.718
Al 0.000 0.000 0.000
Al 0.000 0.500 0.500
Ca 0.000 0.323 0.823
Ca 0.000 0.677 0.177
Ca 0.000 0.823 0.677
Ca 0.000 0.177 0.323
B 0.000 0.124 0.624
B 0.000 0.876 0.376
B 0.000 0.624 0.876
B 0.000 0.376 0.124



[11]
This record from Alexandria via LeMat-Bulk describes a relaxed CaAl2SnB crystal. The functional is GGA-PBE.

The value obtained for the formation energy is 441 kJ/mol of formula units. Its spin magnetization is 0.00 Bohr magnetons per cell. Its volume is 26.2 A^3/atom. As for the space group: P4/mmm. The value obtained for the uncorrected energy is -3.119 eV/atom.

Lattice parameters (Å, degrees): 5.461 4.395 5.461 90.00 90.00 90.00
Atoms (fractional coordinates):
Ca 0.500 0.500 0.500
Al 0.500 0.000 0.000
Al 0.000 0.000 0.500
Sn 0.000 0.000 0.000
B 0.000 0.500 0.000



[12]
This record from Alexandria via LeMat-Bulk describes a relaxed Ca2AlBW crystal. The functional is GGA-PBE.

The value obtained for the formation energy is 538 kJ/mol of formula units. Its spin magnetization is 1.81 Bohr magnetons per cell. Its volume is 27.2 A^3/atom. As for the space group: P4/mmm. The value obtained for the uncorrected energy is -4.359 eV/atom.

Lattice parameters (Å, degrees): 5.715 4.168 5.715 90.00 90.00 90.00
Atoms (fractional coordinates):
B 0.000 0.500 0.000
Al 0.500 0.500 0.500
Ca 0.500 0.000 0.000
Ca 0.000 0.000 0.500
W 0.000 0.000 0.000



[13]
This record from Alexandria via LeMat-Bulk describes a relaxed CaZrAlB2 crystal. The functional is GGA-PBE.

The value obtained for the formation energy is 420 kJ/mol of formula units. Its spin magnetization is 0.00 Bohr magnetons per cell. Its volume is 21.2 A^3/atom. As for the space group: P4/mmm. The value obtained for the uncorrected energy is -4.659 eV/atom.

Lattice parameters (Å, degrees): 4.560 5.102 4.560 90.00 90.00 90.00
Atoms (fractional coordinates):
Ca 0.500 0.500 0.500
B 0.500 0.000 0.000
B 0.000 0.000 0.500
Zr 0.000 0.000 0.000
Al 0.000 0.500 0.000



[14]
This record from Alexandria via LeMat-Bulk describes a relaxed AlCdB crystal. The functional is GGA-PBE.

The value obtained for the formation energy is 64 kJ/mol of formula units. Its spin magnetization is 0.00 Bohr magnetons per cell. Its volume is 16.6 A^3/atom. As for the space group: P1. The value obtained for the uncorrected energy is -3.558 eV/atom.

Lattice parameters (Å, degrees): 3.038 5.859 7.377 79.10 128.39 104.83
Atoms (fractional coordinates):
Cd 0.538 0.434 0.151
Cd 0.477 0.909 0.287
B 0.107 0.188 0.612
B 0.638 0.087 0.665
Al 0.313 0.869 0.854
Al 0.755 0.477 0.615



[15]
This record from Alexandria via LeMat-Bulk describes a relaxed AlCd2B crystal. The functional is GGA-PBE.

The value obtained for the formation energy is 365 kJ/mol of formula units. Its spin magnetization is 0.00 Bohr magnetons per cell. Its volume is 18.0 A^3/atom. As for the space group: Fm-3m. The value obtained for the uncorrected energy is -2.117 eV/atom. As for the relative energy among the computed polymorphs: 0.104 eV per atom.

Lattice parameters (Å, degrees): 4.674 4.674 4.674 60.00 60.00 60.00
Atoms (fractional coordinates):
B 0.000 0.000 0.000
Al 0.500 0.500 0.500
Cd 0.250 0.250 0.250
Cd 0.750 0.750 0.750



[16]
This record from Alexandria via LeMat-Bulk describes a relaxed AlCdB crystal. The functional is GGA-PBE.

The value obtained for the formation energy is 64 kJ/mol of formula units. Its spin magnetization is 0.00 Bohr magnetons per cell. Its volume is 16.6 A^3/atom. As for the space group: P1. The value obtained for the uncorrected energy is -3.559 eV/atom.

Lattice parameters (Å, degrees): 2.998 6.652 6.243 63.32 75.96 103.18
Atoms (fractional coordinates):
Cd 0.818 0.092 0.355
Cd 0.500 0.032 0.932
B 0.934 0.665 0.698
B 0.401 0.693 0.790
Al 0.401 0.485 0.583
Al 0.669 0.559 0.115



[17]
This record from Alexandria via LeMat-Bulk describes a relaxed AlCd3B crystal. The functional is GGA-PBE.

The value obtained for the formation energy is 288 kJ/mol of formula units. Its spin magnetization is 0.00 Bohr magnetons per cell. Its volume is 20.4 A^3/atom. As for the space group: Pm-3m. The value obtained for the uncorrected energy is -2.035 eV/atom. As for the relative energy among the computed polymorphs: 0.000 eV per atom.

Lattice parameters (Å, degrees): 4.673 4.673 4.673 90.00 90.00 90.00
Atoms (fractional coordinates):
Cd 0.000 0.500 0.000
Cd 0.000 0.000 0.500
Cd 0.500 0.000 0.000
B 0.000 0.000 0.000
Al 0.500 0.500 0.500



[18]
This record from Alexandria via LeMat-Bulk describes a relaxed AlCdB crystal. The functional is GGA-PBE.

The value obtained for the formation energy is 154 kJ/mol of formula units. Its spin magnetization is 0.00 Bohr magnetons per cell. Its volume is 16.0 A^3/atom. As for the space group: P6_3/mmc. The value obtained for the uncorrected energy is -3.246 eV/atom.

Lattice parameters (Å, degrees): 3.737 3.737 7.915 90.00 90.00 120.00
Atoms (fractional coordinates):
Al 0.333 0.667 0.750
Al 0.667 0.333 0.250
Cd 0.000 0.000 0.500
Cd 0.000 0.000 0.000
B 0.667 0.333 0.750
B 0.333 0.667 0.250



[19]
This record from Alexandria via LeMat-Bulk describes a relaxed AlCdB crystal. The functional is GGA-PBE.

The value obtained for the formation energy is 62 kJ/mol of formula units. Its spin magnetization is 0.00 Bohr magnetons per cell. Its volume is 16.3 A^3/atom. As for the space group: Pm. The value obtained for the uncorrected energy is -3.565 eV/atom.

Lattice parameters (Å, degrees): 3.042 4.261 7.565 88.99 90.00 90.00
Atoms (fractional coordinates):
B 0.782 0.024 0.792
B 0.282 0.865 0.780
Cd 0.283 0.116 0.077
Cd 0.783 0.573 0.308
Al 0.283 0.051 0.502
Al 0.782 0.518 0.724